[1]
## LiCdCu2 (PBE)

Data for LiCdCu2 after structural relaxation.

The structure in CIF format:
```
data_LiCdCu2
_chemical_formula_sum 'Li1 Cd1 Cu2'
_space_group_name_H-M_alt 'P 1'
_space_group_IT_number 1
_space_group_name_Hall 'P 1'
_cell_length_a 4.439
_cell_length_b 4.439
_cell_length_c 4.439
_cell_angle_alpha 123.75
_cell_angle_beta 123.75
_cell_angle_gamma 83.62
loop_
_atom_site_label
_atom_site_type_symbol
_atom_site_fract_x
_atom_site_fract_y
_atom_site_fract_z
Li1 Li 0.000 0.000 0.000
Cd1 Cd 0.250 0.750 0.500
Cu1 Cu 0.500 0.500 0.000
Cu2 Cu 0.750 0.250 0.500
```

## Properties
Calculated density (g cm⁻³): 7.06
Electronic total energy (eV per atom): -2.802
DOS(E_F) (states/eV/f.u.): 1.18
ΔH_f (0 K) (eV/atom): -0.046

[2]
## Li7Cd2Cu (PBE)

Data for Li7Cd2Cu after structural relaxation.

The structure in CIF format:
```
data_Li7Cd2Cu
_chemical_formula_sum 'Li7 Cd2 Cu1'
_space_group_name_H-M_alt 'P 1'
_space_group_IT_number 1
_space_group_name_Hall 'P 1'
_cell_length_a 4.527
_cell_length_b 4.527
_cell_length_c 10.013
_cell_angle_alpha 90.00
_cell_angle_beta 90.00
_cell_angle_gamma 120.00
loop_
_atom_site_label
_atom_site_type_symbol
_atom_site_fract_x
_atom_site_fract_y
_atom_site_fract_z
Li1 Li 0.000 0.000 0.000
Li2 Li 0.000 0.000 0.229
Li3 Li 0.000 0.000 0.474
Li4 Li 0.333 0.667 0.016
Li5 Li 0.333 0.667 0.625
Li6 Li 0.667 0.333 0.436
Li7 Li 0.667 0.333 0.852
Cd1 Cd 0.000 0.000 0.738
Cd2 Cd 0.333 0.667 0.305
Cu1 Cu 0.667 0.333 0.148
```

## Properties
Calculated density (g cm⁻³): 3.15
Electronic total energy (eV per atom): -1.973
DOS(E_F) (states/eV/f.u.): 2.89
ΔH_f (0 K) (eV/atom): -0.040
Energy above the lowest structure with this stoichiometry (meV/atom): 0

[3]
## LiCdCu (PBE)

Data for LiCdCu after structural relaxation.

The structure in CIF format:
```
data_LiCdCu
_chemical_formula_sum 'Li2 Cd2 Cu2'
_space_group_name_H-M_alt 'P 1'
_space_group_IT_number 1
_space_group_name_Hall 'P 1'
_cell_length_a 4.841
_cell_length_b 4.851
_cell_length_c 4.972
_cell_angle_alpha 100.62
_cell_angle_beta 100.94
_cell_angle_gamma 119.02
loop_
_atom_site_label
_atom_site_type_symbol
_atom_site_fract_x
_atom_site_fract_y
_atom_site_fract_z
Li1 Li 0.247 0.250 0.251
Li2 Li 0.753 0.750 0.749
Cd1 Cd 0.099 0.404 0.751
Cd2 Cd 0.901 0.596 0.249
Cu1 Cu 0.434 0.065 0.749
Cu2 Cu 0.566 0.935 0.251
```

## Properties
Calculated density (g cm⁻³): 6.40
Electronic total energy (eV per atom): -2.398
DOS(E_F) (states/eV/f.u.): 0.85
ΔH_f (0 K) (eV/atom): -0.090
Energy above the lowest structure with this stoichiometry (meV/atom): 26

[4]
## LiCdCu (PBE)

Data for LiCdCu after structural relaxation.

The structure in CIF format:
```
data_LiCdCu
_chemical_formula_sum 'Li2 Cd2 Cu2'
_space_group_name_H-M_alt 'P 1'
_space_group_IT_number 1
_space_group_name_Hall 'P 1'
_cell_length_a 4.479
_cell_length_b 4.479
_cell_length_c 5.496
_cell_angle_alpha 90.00
_cell_angle_beta 90.00
_cell_angle_gamma 120.00
loop_
_atom_site_label
_atom_site_type_symbol
_atom_site_fract_x
_atom_site_fract_y
_atom_site_fract_z
Li1 Li 0.000 0.000 0.000
Li2 Li 0.333 0.667 0.828
Cd1 Cd 0.333 0.667 0.318
Cd2 Cd 0.667 0.333 0.662
Cu1 Cu 0.000 0.000 0.485
Cu2 Cu 0.667 0.333 0.158
```

## Properties
Calculated density (g cm⁻³): 6.36
Electronic total energy (eV per atom): -2.396
DOS(E_F) (states/eV/f.u.): 1.04
ΔH_f (0 K) (eV/atom): -0.088
Energy above the lowest structure with this stoichiometry (meV/atom): 27

[5]
## LiCdCu2 (PBE)

Data for LiCdCu2 after structural relaxation.

The structure in CIF format:
```
data_LiCdCu2
_chemical_formula_sum 'Li1 Cd1 Cu2'
_space_group_name_H-M_alt 'P 1'
_space_group_IT_number 1
_space_group_name_Hall 'P 1'
_cell_length_a 4.944
_cell_length_b 4.944
_cell_length_c 4.297
_cell_angle_alpha 113.51
_cell_angle_beta 113.51
_cell_angle_gamma 38.60
loop_
_atom_site_label
_atom_site_type_symbol
_atom_site_fract_x
_atom_site_fract_y
_atom_site_fract_z
Li1 Li 0.000 0.000 0.000
Cd1 Cd 0.768 0.768 0.268
Cu1 Cu 0.248 0.248 0.747
Cu2 Cu 0.526 0.526 0.533
```

## Properties
Calculated density (g cm⁻³): 6.89
Electronic total energy (eV per atom): -2.788
DOS(E_F) (states/eV/f.u.): 0.80
ΔH_f (0 K) (eV/atom): -0.032

[6]
## Li2CdCu (PBE)

Data for Li2CdCu after structural relaxation.

The structure in CIF format:
```
data_Li2CdCu
_chemical_formula_sum 'Li2 Cd1 Cu1'
_space_group_name_H-M_alt 'P 1'
_space_group_IT_number 1
_space_group_name_Hall 'P 1'
_cell_length_a 5.157
_cell_length_b 5.157
_cell_length_c 4.418
_cell_angle_alpha 114.60
_cell_angle_beta 114.60
_cell_angle_gamma 37.32
loop_
_atom_site_label
_atom_site_type_symbol
_atom_site_fract_x
_atom_site_fract_y
_atom_site_fract_z
Li1 Li 0.234 0.234 0.233
Li2 Li 0.766 0.766 0.767
Cd1 Cd 0.000 0.000 0.500
Cu1 Cu 0.500 0.500 0.000
```

## Properties
Calculated density (g cm⁻³): 4.93
Electronic total energy (eV per atom): -2.309
DOS(E_F) (states/eV/f.u.): 0.96
ΔH_f (0 K) (eV/atom): -0.099

[7]
## Li2CdCu (PBE)

Data for Li2CdCu after structural relaxation.

The structure in CIF format:
```
data_Li2CdCu
_chemical_formula_sum 'Li2 Cd1 Cu1'
_space_group_name_H-M_alt 'P 1'
_space_group_IT_number 1
_space_group_name_Hall 'P 1'
_cell_length_a 2.982
_cell_length_b 2.982
_cell_length_c 9.160
_cell_angle_alpha 100.88
_cell_angle_beta 100.88
_cell_angle_gamma 55.97
loop_
_atom_site_label
_atom_site_type_symbol
_atom_site_fract_x
_atom_site_fract_y
_atom_site_fract_z
Li1 Li 0.000 0.000 0.000
Li2 Li 0.216 0.216 0.552
Cd1 Cd 0.410 0.410 0.276
Cu1 Cu 0.608 0.608 0.776
```

## Properties
Calculated density (g cm⁻³): 4.78
Electronic total energy (eV per atom): -2.223
DOS(E_F) (states/eV/f.u.): 0.99
ΔH_f (0 K) (eV/atom): -0.014

[8]
## Li2Cd4Cu (PBE)

Data for Li2Cd4Cu after structural relaxation.

The structure in CIF format:
```
data_Li2Cd4Cu
_chemical_formula_sum 'Li4 Cd8 Cu2'
_space_group_name_H-M_alt 'P 1'
_space_group_IT_number 1
_space_group_name_Hall 'P 1'
_cell_length_a 5.364
_cell_length_b 9.126
_cell_length_c 5.553
_cell_angle_alpha 90.00
_cell_angle_beta 90.12
_cell_angle_gamma 90.00
loop_
_atom_site_label
_atom_site_type_symbol
_atom_site_fract_x
_atom_site_fract_y
_atom_site_fract_z
Li1 Li 0.249 0.001 0.497
Li2 Li 0.249 0.499 0.997
Li3 Li 0.751 0.501 0.003
Li4 Li 0.751 0.999 0.503
Cd1 Cd 0.002 0.160 0.000
Cd2 Cd 0.002 0.340 0.500
Cd3 Cd 0.498 0.750 0.250
Cd4 Cd 0.498 0.750 0.750
Cd5 Cd 0.502 0.250 0.250
Cd6 Cd 0.502 0.250 0.750
Cd7 Cd 0.998 0.660 0.500
Cd8 Cd 0.998 0.840 0.000
Cu1 Cu 0.500 0.000 0.000
Cu2 Cu 0.500 0.500 0.500
```

## Properties
Calculated density (g cm⁻³): 6.44
Electronic total energy (eV per atom): -1.737
DOS(E_F) (states/eV/f.u.): 1.55
ΔH_f (0 K) (eV/atom): -0.083

[9]
## Li14CdCu (PBE)

Data for Li14CdCu after structural relaxation.

The structure in CIF format:
```
data_Li14CdCu
_chemical_formula_sum 'Li14 Cd1 Cu1'
_space_group_name_H-M_alt 'P 1'
_space_group_IT_number 1
_space_group_name_Hall 'P 1'
_cell_length_a 9.711
_cell_length_b 5.942
_cell_length_c 5.942
_cell_angle_alpha 58.75
_cell_angle_beta 90.00
_cell_angle_gamma 90.00
loop_
_atom_site_label
_atom_site_type_symbol
_atom_site_fract_x
_atom_site_fract_y
_atom_site_fract_z
Li1 Li 0.000 0.000 0.000
Li2 Li 0.000 0.000 0.491
Li3 Li 0.000 0.491 0.000
Li4 Li 0.000 0.495 0.495
Li5 Li 0.246 0.834 0.834
Li6 Li 0.265 0.334 0.841
Li7 Li 0.265 0.841 0.334
Li8 Li 0.266 0.328 0.328
Li9 Li 0.500 0.169 0.679
Li10 Li 0.500 0.679 0.169
Li11 Li 0.734 0.328 0.328
Li12 Li 0.735 0.334 0.841
Li13 Li 0.735 0.841 0.334
Li14 Li 0.754 0.834 0.834
Cd1 Cd 0.500 0.677 0.677
Cu1 Cu 0.500 0.169 0.169
```

## Properties
Calculated density (g cm⁻³): 1.55
Electronic total energy (eV per atom): -2.014
DOS(E_F) (states/eV/f.u.): 5.60
ΔH_f (0 K) (eV/atom): -0.026

[10]
## LiCdCu (PBE)

Data for LiCdCu after structural relaxation.

The structure in CIF format:
```
data_LiCdCu
_chemical_formula_sum 'Li1 Cd1 Cu1'
_space_group_name_H-M_alt 'P 1'
_space_group_IT_number 1
_space_group_name_Hall 'P 1'
_cell_length_a 5.059
_cell_length_b 5.059
_cell_length_c 5.059
_cell_angle_alpha 142.84
_cell_angle_beta 142.84
_cell_angle_gamma 53.57
loop_
_atom_site_label
_atom_site_type_symbol
_atom_site_fract_x
_atom_site_fract_y
_atom_site_fract_z
Li1 Li 0.000 0.000 0.000
Cd1 Cd 0.682 0.682 0.000
Cu1 Cu 0.357 0.357 0.000
```

## Properties
Calculated density (g cm⁻³): 6.47
Electronic total energy (eV per atom): -2.397
DOS(E_F) (states/eV/f.u.): 0.33
ΔH_f (0 K) (eV/atom): -0.088
Energy above the lowest structure with this stoichiometry (meV/atom): 27

[11]
## LiCdCu2 (PBE)

Data for LiCdCu2 after structural relaxation.

The structure in CIF format:
```
data_LiCdCu2
_chemical_formula_sum 'Li1 Cd1 Cu2'
_space_group_name_H-M_alt 'P 1'
_space_group_IT_number 1
_space_group_name_Hall 'P 1'
_cell_length_a 2.780
_cell_length_b 3.839
_cell_length_c 5.540
_cell_angle_alpha 90.00
_cell_angle_beta 90.00
_cell_angle_gamma 90.00
loop_
_atom_site_label
_atom_site_type_symbol
_atom_site_fract_x
_atom_site_fract_y
_atom_site_fract_z
Li1 Li 0.000 0.000 0.000
Cd1 Cd 0.000 0.000 0.500
Cu1 Cu 0.500 0.500 0.230
Cu2 Cu 0.500 0.500 0.770
```

## Properties
Calculated density (g cm⁻³): 6.92
Electronic total energy (eV per atom): -2.751
DOS(E_F) (states/eV/f.u.): 1.43
ΔH_f (0 K) (eV/atom): 0.004

[12]
## Li4Cd2Cu (PBE)

Data for Li4Cd2Cu after structural relaxation.

The structure in CIF format:
```
data_Li4Cd2Cu
_chemical_formula_sum 'Li4 Cd2 Cu1'
_space_group_name_H-M_alt 'P 1'
_space_group_IT_number 1
_space_group_name_Hall 'P 1'
_cell_length_a 7.190
_cell_length_b 7.190
_cell_length_c 7.157
_cell_angle_alpha 119.27
_cell_angle_beta 119.27
_cell_angle_gamma 23.61
loop_
_atom_site_label
_atom_site_type_symbol
_atom_site_fract_x
_atom_site_fract_y
_atom_site_fract_z
Li1 Li 0.079 0.079 0.221
Li2 Li 0.373 0.373 0.124
Li3 Li 0.627 0.627 0.876
Li4 Li 0.921 0.921 0.779
Cd1 Cd 0.222 0.222 0.664
Cd2 Cd 0.778 0.778 0.336
Cu1 Cu 0.000 0.000 0.500
```

## Properties
Calculated density (g cm⁻³): 4.09
Electronic total energy (eV per atom): -1.993
DOS(E_F) (states/eV/f.u.): 2.75
ΔH_f (0 K) (eV/atom): -0.053

[13]
## LiCdCu2 (PBE)

Data for LiCdCu2 after structural relaxation.

The structure in CIF format:
```
data_LiCdCu2
_chemical_formula_sum 'Li1 Cd1 Cu2'
_space_group_name_H-M_alt 'P 1'
_space_group_IT_number 1
_space_group_name_Hall 'P 1'
_cell_length_a 2.923
_cell_length_b 2.923
_cell_length_c 6.975
_cell_angle_alpha 90.00
_cell_angle_beta 90.00
_cell_angle_gamma 90.10
loop_
_atom_site_label
_atom_site_type_symbol
_atom_site_fract_x
_atom_site_fract_y
_atom_site_fract_z
Li1 Li 0.000 0.000 0.000
Cd1 Cd 0.500 0.500 0.706
Cu1 Cu 0.000 0.000 0.428
Cu2 Cu 0.500 0.500 0.228
```

## Properties
Calculated density (g cm⁻³): 6.87
Electronic total energy (eV per atom): -2.778
DOS(E_F) (states/eV/f.u.): 0.75
ΔH_f (0 K) (eV/atom): -0.023